Compound: Tb2ScCu4Si2Ge2
Source: OQMD
Functional: PBE
Structure: optimized geometry

abc: 4.1771 6.4723 13.6815
angles: 90.00 90.00 90.00
Space group Immm (No. 71)
Unique sites:
Tb 0.0000 0.0000 0.1296 x4
Sc 0.0000 0.5000 0.0000 x2
Cu 0.0000 0.1912 0.3358 x8
Si 0.0000 0.3101 0.5000 x4
Ge 0.0000 0.5000 0.2126 x4

## Properties
ΔE to the lowest computed polymorph, kJ per mole of atoms: 1.4
Energy, eV/atom: -5.195
M_tot, μB per formula unit: 0.0

Compound: ZnAsPO
Source: OQMD
Functional: PBE
Structure: optimized geometry

abc: 3.8810 3.8810 27.8592
angles: 90.00 90.00 120.00
Space group R-3m (No. 166, hexagonal axes)
Unique sites:
Zn 0.0000 0.0000 0.1972 x6
As 0.0000 0.0000 0.3778 x6
P 0.0000 0.0000 0.1057 x6
O 0.0000 0.0000 0.3098 x6

## Properties
ΔE to the lowest computed polymorph, kJ per mole of atoms: 32.4
Energy, eV/atom: -4.325

Compound: CsZrAu3Se4
Source: OQMD
Functional: PBE
Structure: optimized geometry

abc: 6.2969 7.8231 10.5205
angles: 90.00 107.30 90.00
Space group P2_1/m (No. 11)
Unique sites:
Cs 0.1690 0.2500 0.3883 x2
Zr 0.3462 0.7500 0.2041 x2
Au 0.1411 0.2500 0.7579 x2
Au 0.2944 0.0621 0.0077 x4
Se 0.0513 0.7500 0.9683 x2
Se 0.2322 0.7500 0.4172 x2
Se 0.4033 0.5197 0.7583 x4

## Properties
ΔE to the lowest computed polymorph, kJ per mole of atoms: 0.0
Energy, eV/atom: -4.334
M_tot, μB per formula unit: 0.0

Compound: ThZn
Source: OQMD
Functional: PBE
Structure: optimized geometry

abc: 3.4294 3.4294 4.9497
angles: 90.00 90.00 120.00
Space group P-6m2 (No. 187)
Unique sites:
Th 0.0000 0.0000 0.0000 x1
Zn 0.6667 0.3333 0.5000 x1

## Properties
Formation energy, eV per formula unit: 0.042
Energy, eV/atom: -4.318
M_tot, μB per formula unit: 0.0